10
Lattice="8.5236 0.0000 0.0000 0.0000 8.5236 0.0000 0.0000 0.0000 3.5597" Properties=species:S:1:pos:R:3 comment="GaH2Br2 | the Alexandria database | GGA-PBE | optimized geometry" e_tot_ev_per_atom=-2.5070 pbc="T T T"
Ga 4.2618 4.2618 0.0000
Ga 0.0000 0.0000 0.0000
H 6.9812 2.7194 1.7798
Br 6.9776 2.7158 0.0000
H 2.7194 1.5424 1.7798
Br 1.5460 5.8078 0.0000
H 1.5424 5.8042 1.7798
Br 2.7158 1.5460 0.0000
H 5.8042 6.9812 1.7798
Br 5.8078 6.9776 0.0000



10
Lattice="-0.8327 -3.9872 -2.7308 5.3828 -2.4701 -1.2688 -1.1812 -1.8370 7.2042" Properties=species:S:1:pos:R:3 comment="GaH3Br | the Alexandria database | GGA-PBE | optimized geometry" e_tot_ev_per_atom=-3.0179 pbc="T T T"
H 1.8955 -5.1535 -3.1127
Br 0.1720 -3.7739 3.9011
Ga 2.6313 -3.7438 3.5959
H 2.9073 -3.9384 2.0640
Ga 2.4576 -4.0364 -2.2225
H 4.3045 -3.2178 1.4954
Br -0.7315 -3.9368 -0.3044
H 2.5070 -3.6826 -0.7223
H 2.4091 -6.6854 1.8212
H 2.7722 -5.3068 4.2916



8
Lattice="6.6375 0.0000 0.0000 0.0000 6.6375 0.0000 3.3188 3.3188 4.2479" Properties=species:S:1:pos:R:3 comment="GaHBr2 | the Alexandria database | GGA-PBE | optimized geometry" e_tot_ev_per_atom=-2.4241 pbc="T T T"
H 3.3188 3.3188 0.0000
Ga 6.6375 3.3188 2.1240
Ga 0.0000 0.0000 0.0000
Br 2.3881 4.9782 1.0620
H 3.3188 6.6375 2.1240
Br 4.2494 1.6594 1.0620
Br 4.9782 5.7069 3.1860
Br 8.2969 7.5682 3.1860



5
Lattice="3.3381 -0.7696 1.9659 -1.6516 8.0076 4.9596 1.9012 4.4103 9.6462" Properties=species:S:1:pos:R:3 comment="GaH2Br2 | the Alexandria database | GGA-PBE | optimized geometry" e_tot_ev_per_atom=-2.9360 pbc="T T T"
Ga 2.5689 4.2563 10.0392
H 3.3443 7.7757 13.1462
H 1.5781 3.5644 4.2119
Br 1.8134 4.3860 7.3353
Br -0.2284 7.7239 8.0566



4
Lattice="2.7776 0.0000 6.5540 -1.3888 2.4055 6.5540 -1.3888 -2.4055 6.5540" Properties=species:S:1:pos:R:3 comment="GaHBr2 | the Alexandria database | GGA-PBE | optimized geometry" e_tot_ev_per_atom=-2.7911 pbc="T T T"
Ga 0.0000 0.0000 9.8310
Br 0.0000 0.0000 17.9519
Br 0.0000 0.0000 1.7101
H 0.0000 0.0000 0.0000



7
Lattice="3.1359 -1.8309 1.4958 -0.3919 8.0950 0.3584 1.4189 -2.4676 9.3724" Properties=species:S:1:pos:R:3 comment="Ga2H2Br3 | the Alexandria database | GGA-PBE | optimized geometry" e_tot_ev_per_atom=-2.3217 pbc="T T T"
Br 1.4989 1.3168 3.5907
Ga 0.6130 2.1314 1.2882
Br 3.1359 -1.8309 1.4958
H 1.5607 -0.6270 6.3565
H 2.6021 4.4235 4.8702
Br 2.6640 2.4797 7.6360
Ga 3.5499 1.6651 9.9385



4
Lattice="0.0000 3.5418 3.5418 3.5418 0.0000 3.5418 3.5418 3.5418 0.0000" Properties=species:S:1:pos:R:3 comment="Ga2HBr | the Alexandria database | GGA-PBE | optimized geometry" e_tot_ev_per_atom=-2.5163 pbc="T T T"
H 0.0000 0.0000 0.0000
Ga 1.7709 1.7709 1.7709
Ga 5.3127 5.3127 5.3127
Br 3.5418 3.5418 3.5418



6
Lattice="3.7938 -0.0051 1.3830 -1.3012 7.3293 -2.9811 0.3789 -4.1573 5.4623" Properties=species:S:1:pos:R:3 comment="GaH4Br | the Alexandria database | GGA-PBE | optimized geometry" e_tot_ev_per_atom=-3.1823 pbc="T T T"
H 0.7103 -2.0381 4.0270
H 1.9865 4.2273 -0.5813
Br 1.6660 0.2660 1.4075
Ga -0.4699 2.3729 1.3686
H 0.9695 -1.5540 3.5083
H 2.2557 4.7301 -0.0910



5
Lattice="-2.0774 0.6180 -4.7100 -0.2305 -5.1477 -0.5737 -4.7447 -0.0204 2.0900" Properties=species:S:1:pos:R:3 comment="GaHBr3 | the Alexandria database | GGA-PBE | optimized geometry" e_tot_ev_per_atom=-2.1806 pbc="T T T"
H -3.5263 -2.2751 -1.5968
Ga 0.0000 0.0000 0.0000
Br -0.1153 -2.5739 -0.2869
Br -2.3724 -0.0102 1.0450
Br -1.0387 0.3090 -2.3550



10
Lattice="-0.3713 3.9334 3.7665 -3.7496 -1.8690 3.4991 2.9341 -1.9015 4.1918" Properties=species:S:1:pos:R:3 comment="GaH3Br | the Alexandria database | GGA-PBE | optimized geometry" e_tot_ev_per_atom=-2.6723 pbc="T T T"
H -2.6758 1.2668 6.2855
H 1.4890 -1.1038 5.1719
Br -0.4109 0.0564 3.9667
H -0.4991 2.4014 4.9161
Ga -0.1630 0.0224 1.5737
H -2.5274 -1.0864 4.7556
H 1.3406 1.2494 6.7018
Ga -1.0238 0.1406 9.8837
H -0.6877 -2.2384 6.5413
Br -0.7759 0.1066 7.4907



11
Lattice="-1.6707 3.3356 -6.5728 -6.4827 -4.7682 2.0830 -4.6063 3.6505 5.8785" Properties=species:S:1:pos:R:3 comment="Ga2HBr8 | the Alexandria database | GGA-PBE | optimized geometry" e_tot_ev_per_atom=-2.4684 pbc="T T T"
Br -4.2629 1.8662 -2.0319
Br -8.4968 0.3517 3.4207
Br -6.4443 2.6385 4.9039
Br -8.1808 1.9057 -0.1824
Br -4.5789 0.3123 1.5712
Ga -3.2246 0.8098 -0.2020
H 0.0000 0.0000 0.0000
Ga -9.5351 1.4081 1.5908
Br -5.1011 5.0274 -1.0590
Br -7.6586 -2.8095 2.4477
Br -6.3154 -0.4206 -3.5151



8
Lattice="5.4709 0.0000 0.0000 0.0000 5.4709 0.0000 2.7355 2.7355 6.1469" Properties=species:S:1:pos:R:3 comment="Ga2HBr | the Alexandria database | GGA-PBE | optimized geometry" e_tot_ev_per_atom=-2.7023 pbc="T T T"
Ga 6.8387 5.9944 4.6102
Br 0.0000 0.0000 0.0000
Ga 4.1032 4.9474 4.6102
H 2.7355 5.4709 3.0735
Ga 3.2590 1.3677 1.5367
Br 5.4709 2.7355 3.0735
H 2.7355 2.7355 0.0000
Ga 2.2120 4.1032 1.5367



18
Lattice="5.3208 0.4168 2.1645 3.0049 10.7065 0.8105 -0.4120 0.8349 11.1108" Properties=species:S:1:pos:R:3 comment="GaH2Br6 | the Alexandria database | GGA-PBE | optimized geometry" e_tot_ev_per_atom=-2.6034 pbc="T T T"
Br 4.6801 7.1498 4.4333
Ga 1.6328 3.0036 9.4978
H 4.7141 10.2991 9.0467
Ga 6.2809 8.9547 4.5880
H 3.1996 1.6592 5.0391
Br 3.2336 4.8085 9.6524
H 1.3201 3.7068 1.6029
Br 2.7515 0.9684 9.7419
Br 4.0851 9.3110 8.1558
Br 1.8624 4.4448 2.7548
Br 5.2384 3.7326 13.2160
Br 3.8285 2.6473 5.9300
Br 0.7208 3.1888 7.2666
H 6.5936 8.2515 12.4829
Br 5.1621 10.9899 4.3438
Br 2.6753 8.2257 0.8697
Br 6.0512 7.5135 11.3310
Br 7.1928 8.7695 6.8191



5
Lattice="-2.7588 0.7452 -2.5089 -2.5644 -1.4981 2.3750 -0.5230 3.4149 1.5893" Properties=species:S:1:pos:R:3 comment="GaH3Br | the Alexandria database | GGA-PBE | optimized geometry" e_tot_ev_per_atom=-2.4149 pbc="T T T"
H -0.2615 1.7074 0.7947
Ga 0.0000 0.0000 0.0000
H -1.3794 0.3726 -1.2544
Br -2.9231 1.3310 0.7277
H -1.2822 -0.7490 1.1875



5
Lattice="4.5724 0.0000 0.0000 0.0000 9.0433 0.0000 0.0000 0.0000 4.5724" Properties=species:S:1:pos:R:3 comment="KGaH2Br | the Alexandria database | GGA-PBE | optimized geometry" e_tot_ev_per_atom=-2.1342 pbc="T T T"
Br 2.2862 4.5217 2.2862
H 2.2862 0.0000 0.0000
H 0.0000 0.0000 2.2862
Ga 0.0000 4.5217 0.0000
K 0.0000 0.0000 0.0000



8
Lattice="4.2209 0.0000 0.0000 0.0000 7.0616 0.1019 0.0000 -2.5034 7.5062" Properties=species:S:1:pos:R:3 comment="La4GaHBr2 | the Alexandria database | GGA-PBE | optimized geometry" e_tot_ev_per_atom=-4.5262 pbc="T T T"
H 2.1104 3.5308 0.0510
La 0.0000 4.6012 1.6983
Br 2.1104 -1.2517 3.7531
La 2.1104 1.3355 1.6128
Br 0.0000 2.2791 3.8041
Ga 0.0000 0.0000 0.0000
La 0.0000 -0.0430 5.9098
La 2.1104 3.2227 5.9953



14
Lattice="-1.7646 5.2542 0.2730 -0.4867 1.2453 5.3858 6.2642 5.8041 2.9852" Properties=species:S:1:pos:R:3 comment="MgGaH4Br | the Alexandria database | GGA-PBE | optimized geometry" e_tot_ev_per_atom=-3.0888 pbc="T T T"
Br 0.1494 1.4404 1.0921
H 1.1301 7.6604 5.7239
H 3.2695 6.8170 4.5279
H 2.8840 9.4124 4.9705
H 0.7434 5.4866 4.1161
H 0.6257 4.4702 1.6598
Ga 1.3055 4.3682 3.0987
H 1.1290 2.8913 3.6736
Mg 4.4941 5.7035 3.3487
Ga 2.7074 7.9354 5.5453
Mg -0.4811 6.6001 5.2953
Br 3.8636 10.8632 7.5519
H 2.8828 4.6433 2.9201
H 3.3873 7.8334 6.9842



5
Lattice="3.9425 0.0000 0.0000 0.0000 5.0784 0.0000 0.0000 0.0000 3.9425" Properties=species:S:1:pos:R:3 comment="Ga2MoHBr | the Alexandria database | GGA-PBE | optimized geometry" e_tot_ev_per_atom=-3.6821 pbc="T T T"
Br 0.0000 2.5392 0.0000
H 0.0000 0.0000 0.0000
Ga 1.9712 0.0000 0.0000
Ga 0.0000 0.0000 1.9712
Mo 1.9712 2.5392 1.9712



5
Lattice="-2.5447 -4.1528 0.2775 2.8387 -1.9548 -3.2228 2.9513 -1.5711 3.5525" Properties=species:S:1:pos:R:3 comment="Ga2HPbBr | the Alexandria database | GGA-PBE | optimized geometry" e_tot_ev_per_atom=-2.7384 pbc="T T T"
Pb 1.4194 -0.9774 -1.6114
Br 1.6226 -3.8394 0.3036
H 0.0000 0.0000 0.0000
Ga 1.4756 -0.7855 1.7762
Ga -1.2724 -2.0764 0.1387



5
Lattice="5.0293 0.0000 0.0000 0.0000 5.0293 0.0000 0.0000 0.0000 3.6379" Properties=species:S:1:pos:R:3 comment="Ga2HPtBr | the Alexandria database | GGA-PBE | optimized geometry" e_tot_ev_per_atom=-3.7903 pbc="T T T"
H 0.0000 0.0000 1.8189
Br 2.5146 2.5146 1.8189
Ga 0.0000 2.5146 0.0000
Ga 2.5146 0.0000 0.0000
Pt 0.0000 0.0000 0.0000